{"formula": "Ba2P2O7", "functional": "PBE", "state": "relaxed", "cell": [[-7.784, 3.128, 4.418], [-0.222, -8.244, -4.678], [2.038, -3.498, 6.068]], "species": ["O", "O", "O", "O", "O", "O", "O", "O", "O", "O", "O", "O", "O", "O", "O", "O", "O", "O", "O", "O", "O", "Ba", "Ba", "Ba", "Ba", "Ba", "Ba", "P", "P", "P", "P", "P", "P"], "fractional_positions": [[0.155, 0.155, 0.202], [0.493, 0.674, 0.723], [0.513, 0.185, 0.247], [0.000, 0.845, 0.238], [0.185, 0.513, 0.247], [0.674, 0.493, 0.723], [0.493, 0.674, 0.277], [0.845, 0.000, 0.238], [0.155, 0.155, 0.798], [0.185, 0.513, 0.753], [0.513, 0.185, 0.753], [0.041, 0.041, 0.500], [0.818, 0.325, 0.300], [0.000, 0.845, 0.762], [0.325, 0.818, 0.700], [0.325, 0.818, 0.300], [0.818, 0.325, 0.700], [0.723, 0.363, 0.000], [0.845, 0.000, 0.762], [0.363, 0.723, 0.000], [0.674, 0.493, 0.277], [0.284, 0.991, 0.000], [0.009, 0.619, 0.500], [0.619, 0.009, 0.500], [0.715, 0.715, 0.000], [0.393, 0.393, 0.500], [0.991, 0.284, 0.000], [0.006, 0.006, 0.284], [0.339, 0.677, 0.781], [0.339, 0.677, 0.219], [0.677, 0.339, 0.781], [0.677, 0.339, 0.219], [0.006, 0.006, 0.716]], "raw_formation_energy_mev_per_atom": -2742, "total_magnetization_mub_per_fu": 0.0, "volume_a3_per_atom": 17.24}